--- A ---
Here is Pm2GdZn after structural relaxation from Alexandria. Energies are from GGA-PBE.

abc: 3.6361 3.6361 31.6323
angles: 90.00 90.00 120.00
Last column: nearest neighbours and their distance in Å.
Space group R-3m (No. 166, hexagonal axes)
Inequivalent atoms, fractional coordinates:
Pm  0.0000  0.0000  0.2394 [6 per cell]  3 Zn 3.11
Gd  0.0000  0.0000  0.0000 [3 per cell]  6 Gd 3.64, 6 Pm 3.64
Zn  0.0000  0.0000  0.5000 [3 per cell]  6 Pm 3.11

Computed properties:
- D(E_F) (states/eV per atom) = 1.2755


--- B ---
Here is Pm2GdZn after structural relaxation from Alexandria. Energies are from GGA-PBE.

abc: 7.6735 7.6735 7.6735
angles: 90.00 90.00 90.00
Last column: nearest neighbours and their distance in Å.
Space group Fm-3m (No. 225)
Inequivalent atoms, fractional coordinates:
Pm  0.2500  0.2500  0.2500 [8 per cell]  4 Gd 3.32, 4 Zn 3.32
Gd  0.0000  0.0000  0.0000 [4 per cell]  8 Pm 3.32
Zn  0.0000  0.0000  0.5000 [4 per cell]  8 Pm 3.32

Computed properties:
- D(E_F) (states/eV per atom) = 1.5013


Going by the computed energies, the most stable comes first: A, B.


--- A ---
Here is PmGd2Zn after structural relaxation from Alexandria. Energies are from GGA-PBE.

abc: 7.6324 7.6324 7.6324
angles: 90.00 90.00 90.00
Last column: nearest neighbours and their distance in Å.
Space group Fm-3m (No. 225)
Inequivalent atoms, fractional coordinates:
Pm  0.0000  0.0000  0.0000 [4 per cell]  8 Gd 3.30
Gd  0.2500  0.2500  0.2500 [8 per cell]  4 Pm 3.30, 4 Zn 3.30
Zn  0.0000  0.0000  0.5000 [4 per cell]  8 Gd 3.30

Computed properties:
- D(E_F) (states/eV per atom) = 1.6044


--- B ---
Here is PmGd2Zn after structural relaxation from Alexandria. Energies are from GGA-PBE.

abc: 4.7869 4.7869 4.8463
angles: 90.00 90.00 90.00
Last column: nearest neighbours and their distance in Å.
Space group P4/mmm (No. 123)
Inequivalent atoms, fractional coordinates:
Pm  0.0000  0.0000  0.0000 [1 per cell]  4 Zn 3.38, 8 Gd 3.41
Gd  0.0000  0.5000  0.5000 [2 per cell]  4 Gd 3.38, 4 Pm 3.41, 4 Zn 3.41
Zn  0.5000  0.5000  0.0000 [1 per cell]  4 Pm 3.38, 8 Gd 3.41

Computed properties:
- D(E_F) (states/eV per atom) = 1.2446


--- C ---
Here is PmGd2Zn after structural relaxation from Alexandria. Energies are from GGA-PBE.

abc: 3.5085 3.5085 35.6539
angles: 90.00 90.00 120.00
Last column: nearest neighbours and their distance in Å.
Space group R-3m (No. 166, hexagonal axes)
Inequivalent atoms, fractional coordinates:
Pm  0.0000  0.0000  0.0000 [3 per cell]  6 Pm 3.51, 6 Gd 3.53
Gd  0.0000  0.0000  0.4144 [6 per cell]  1 Zn 3.05
Zn  0.0000  0.0000  0.5000 [3 per cell]  2 Gd 3.05

Computed properties:
- D(E_F) (states/eV per atom) = 1.1848


Going by the computed energies, the most stable comes first: B, A, C.


--- A ---
Here is Pm2GdZr after structural relaxation from Alexandria. Energies are from GGA-PBE.

abc: 4.9578 4.9578 4.9168
angles: 90.00 90.00 90.00
Last column: nearest neighbours and their distance in Å.
Space group P4/mmm (No. 123)
Inequivalent atoms, fractional coordinates:
Pm  0.0000  0.5000  0.0000 [2 per cell]  4 Zr 3.49, 4 Gd 3.49, 4 Pm 3.51
Gd  0.0000  0.0000  0.5000 [1 per cell]  8 Pm 3.49, 4 Zr 3.51
Zr  0.5000  0.5000  0.5000 [1 per cell]  8 Pm 3.49, 4 Gd 3.51

Computed properties:
- D(E_F) (states/eV per atom) = 1.1198


--- B ---
Here is Pm2GdZr after structural relaxation from Alexandria. Energies are from GGA-PBE.

abc: 7.8431 7.8431 7.8431
angles: 90.00 90.00 90.00
Last column: nearest neighbours and their distance in Å.
Space group Fm-3m (No. 225)
Inequivalent atoms, fractional coordinates:
Pm  0.2500  0.2500  0.2500 [8 per cell]  4 Zr 3.40, 4 Gd 3.40
Gd  0.0000  0.0000  0.0000 [4 per cell]  8 Pm 3.40
Zr  0.0000  0.0000  0.5000 [4 per cell]  8 Pm 3.40

Computed properties:
- D(E_F) (states/eV per atom) = 1.8798


--- C ---
Here is Pm2GdZr after structural relaxation from Alexandria. Energies are from GGA-PBE.

abc: 3.4842 3.4842 10.0430
angles: 90.00 90.00 90.00
Last column: nearest neighbours and their distance in Å.
Space group P4/mmm (No. 123)
Inequivalent atoms, fractional coordinates:
Pm  0.0000  0.0000  0.2312 [2 per cell]  4 Zr 3.39, 4 Pm 3.48, 4 Gd 3.65
Gd  0.5000  0.5000  0.5000 [1 per cell]  4 Gd 3.48, 8 Pm 3.65
Zr  0.5000  0.5000  0.0000 [1 per cell]  8 Pm 3.39, 4 Zr 3.48

Computed properties:
- D(E_F) (states/eV per atom) = 1.3958


Going by the computed energies, the most stable comes first: C, A, B.


--- A ---
Here is PrGdPt2 after structural relaxation from Alexandria. Energies are from GGA-PBE.

abc: 7.1647 7.1647 7.1647
angles: 90.00 90.00 90.00
Last column: nearest neighbours and their distance in Å.
Space group Fm-3m (No. 225)
Inequivalent atoms, fractional coordinates:
Pr  0.0000  0.0000  0.0000 [4 per cell]  8 Pt 3.10
Gd  0.0000  0.0000  0.5000 [4 per cell]  8 Pt 3.10
Pt  0.2500  0.2500  0.2500 [8 per cell]  4 Gd 3.10, 4 Pr 3.10

Computed properties:
- D(E_F) (states/eV per atom) = 0.7907


--- B ---
Here is PrGdPt2 after structural relaxation from Alexandria. Energies are from GGA-PBE.

abc: 3.5810 3.5810 7.1584
angles: 90.00 90.00 90.00
Last column: nearest neighbours and their distance in Å.
Space group P4/mmm (No. 123)
Inequivalent atoms, fractional coordinates:
Pr  0.0000  0.0000  0.0000 [1 per cell]  8 Pt 3.17
Gd  0.0000  0.0000  0.5000 [1 per cell]  8 Pt 3.04
Pt  0.5000  0.5000  0.2653 [2 per cell]  4 Gd 3.04, 4 Pr 3.17, 1 Pt 3.36

Computed properties:
- D(E_F) (states/eV per atom) = 0.7593


Going by the computed energies, the most stable comes first: B, A.


--- A ---
Here is PrGdPu after structural relaxation from Alexandria. Energies are from GGA-PBE.

abc: 3.5611 3.5611 15.1783
angles: 90.00 90.00 90.00
Last column: nearest neighbours and their distance in Å.
Space group I4mm (No. 107)
Inequivalent atoms, fractional coordinates:
Pr  0.0000  0.0000  0.0000 [2 per cell]  4 Pu 3.55, 4 Pr 3.56, 4 Gd 3.68
Gd  0.0000  0.0000  0.6765 [2 per cell]  4 Pu 3.49, 4 Gd 3.56, 4 Pr 3.68
Pu  0.0000  0.0000  0.3355 [2 per cell]  4 Gd 3.49, 4 Pr 3.55, 4 Pu 3.56

Computed properties:
- D(E_F) (states/eV per atom) = 2.3986


--- B ---
Here is PrGdPu after structural relaxation from Alexandria. Energies are from GGA-PBE.

abc: 5.7318 5.7318 3.3500
angles: 90.00 90.00 120.00
Last column: nearest neighbours and their distance in Å.
Space group P-6m2 (No. 187)
Inequivalent atoms, fractional coordinates:
Pr  0.0000  0.0000  0.0000 [1 per cell]  3 Gd 3.31, 2 Pr 3.35
Gd  0.3333  0.6667  0.0000 [1 per cell]  3 Pr 3.31, 2 Gd 3.35
Pu  0.6667  0.3333  0.5000 [1 per cell]  2 Pu 3.35, 6 Pr 3.71, 6 Gd 3.71

Computed properties:
- D(E_F) (states/eV per atom) = 3.2573


Going by the computed energies, the most stable comes first: A, B.


--- A ---
Here is Pr2GdPu after structural relaxation from Alexandria. Energies are from GGA-PBE.

abc: 8.1443 8.1443 8.1443
angles: 90.00 90.00 90.00
Last column: nearest neighbours and their distance in Å.
Space group Fm-3m (No. 225)
Inequivalent atoms, fractional coordinates:
Pr  0.2500  0.2500  0.2500 [8 per cell]  4 Gd 3.53, 4 Pu 3.53
Gd  0.0000  0.0000  0.0000 [4 per cell]  8 Pr 3.53
Pu  0.0000  0.0000  0.5000 [4 per cell]  8 Pr 3.53

Computed properties:
- D(E_F) (states/eV per atom) = 4.0930


--- B ---
Here is Pr2GdPu after structural relaxation from Alexandria. Energies are from GGA-PBE.

abc: 5.0908 5.0908 5.0675
angles: 90.00 90.00 90.00
Last column: nearest neighbours and their distance in Å.
Space group P4/mmm (No. 123)
Inequivalent atoms, fractional coordinates:
Pr  0.0000  0.5000  0.0000 [2 per cell]  4 Gd 3.59, 4 Pu 3.59, 4 Pr 3.60
Gd  0.0000  0.0000  0.5000 [1 per cell]  8 Pr 3.59, 4 Pu 3.60
Pu  0.5000  0.5000  0.5000 [1 per cell]  8 Pr 3.59, 4 Gd 3.60

Computed properties:
- D(E_F) (states/eV per atom) = 4.1577


Going by the computed energies, the most stable comes first: B, A.


--- A ---
Here is PrGdRu after structural relaxation from Alexandria. Energies are from GGA-PBE.

abc: 3.4759 3.4759 13.4901
angles: 90.00 90.00 90.00
Last column: nearest neighbours and their distance in Å.
Space group I4mm (No. 107)
Inequivalent atoms, fractional coordinates:
Pr  0.0000  0.0000  0.0000 [2 per cell]  4 Ru 3.03, 1 Gd 3.39
Gd  0.0000  0.0000  0.2516 [2 per cell]  4 Ru 2.94
Ru  0.0000  0.0000  0.6317 [2 per cell]  4 Gd 2.94, 4 Pr 3.03

Computed properties:
- D(E_F) (states/eV per atom) = 0.6891


--- B ---
Here is PrGdRu after structural relaxation from Alexandria. Energies are from GGA-PBE.

abc: 6.9166 6.9166 6.9166
angles: 90.00 90.00 90.00
Last column: nearest neighbours and their distance in Å.
Space group F-43m (No. 216)
Inequivalent atoms, fractional coordinates:
Pr  0.0000  0.0000  0.0000 [4 per cell]  4 Ru 2.99
Gd  0.0000  0.0000  0.5000 [4 per cell]  4 Ru 2.99
Ru  0.2500  0.2500  0.2500 [4 per cell]  4 Pr 2.99, 4 Gd 2.99

Computed properties:
- D(E_F) (states/eV per atom) = 0.6438


--- C ---
Here is PrGdRu after structural relaxation from Alexandria. Energies are from GGA-PBE.

abc: 4.5559 4.5559 4.4338
angles: 90.00 90.00 120.00
Last column: nearest neighbours and their distance in Å.
Space group P-6m2 (No. 187)
Inequivalent atoms, fractional coordinates:
Pr  0.0000  0.0000  0.0000 [1 per cell]  6 Gd 3.44, 6 Ru 3.44
Gd  0.6667  0.3333  0.5000 [1 per cell]  3 Ru 2.63
Ru  0.3333  0.6667  0.5000 [1 per cell]  3 Gd 2.63

Computed properties:
- D(E_F) (states/eV per atom) = 0.6497


Going by the computed energies, the most stable comes first: A, B, C.


--- A ---
Here is PrGd2Sb after structural relaxation from Alexandria. Energies are from GGA-PBE.

abc: 4.8797 4.8797 4.8809
angles: 90.00 90.00 90.00
Last column: nearest neighbours and their distance in Å.
Space group P4/mmm (No. 123)
Inequivalent atoms, fractional coordinates:
Pr  0.0000  0.0000  0.0000 [1 per cell]  4 Sb 3.45, 8 Gd 3.45
Gd  0.0000  0.5000  0.5000 [2 per cell]  4 Gd 3.45, 4 Pr 3.45, 4 Sb 3.45
Sb  0.5000  0.5000  0.0000 [1 per cell]  4 Pr 3.45, 8 Gd 3.45

Computed properties:
- D(E_F) (states/eV per atom) = 1.1625


--- B ---
Here is PrGd2Sb after structural relaxation from Alexandria. Energies are from GGA-PBE.

abc: 4.0576 4.0576 7.3815
angles: 90.00 90.00 90.00
Last column: nearest neighbours and their distance in Å.
Space group P4/mmm (No. 123)
Inequivalent atoms, fractional coordinates:
Pr  0.0000  0.0000  0.0000 [1 per cell]  8 Gd 3.56, 2 Sb 3.69
Gd  0.5000  0.5000  0.2854 [2 per cell]  1 Gd 3.17, 4 Sb 3.28
Sb  0.0000  0.0000  0.5000 [1 per cell]  8 Gd 3.28

Computed properties:
- D(E_F) (states/eV per atom) = 1.2150


Going by the computed energies, the most stable comes first: A, B.